Record 1
DyScCuTc GGA-PBE relaxed; V = 18.68 Å³ per atom; N(E_F) = 2.8 states/eV per cell; DFT formation energy = -155 meV per atom; ρ = 8.20 Mg/m³
1.0
0.000 3.343 3.343
3.343 0.000 3.343
3.343 3.343 0.000
Dy Sc Cu Tc
1 1 1 1
Direct
0.000 0.000 0.000
0.500 0.500 0.500
0.750 0.750 0.750
0.250 0.250 0.250

***

Record 2
DyScTlCu GGA-PBE relaxed; V = 22.56 Å³ per atom; N(E_F) = 3.3 states/eV per cell; DFT formation energy = -232 meV per atom; ρ = 8.75 Mg/m³
1.0
0.000 3.560 3.560
3.560 0.000 3.560
3.560 3.560 0.000
Dy Sc Tl Cu
1 1 1 1
Direct
0.000 0.000 0.000
0.500 0.500 0.500
0.250 0.250 0.250
0.750 0.750 0.750